# 1
{
  "formula": "AcCeNiOs",
  "functional": "GGA-PBE",
  "state": "relaxed",
  "lattice_angstrom": [[5.042, 0.000, 0.000], [2.521, 4.366, 0.000], [2.521, 1.455, 4.117]],
  "species": ["Os", "Ac", "Ni", "Ce"],
  "frac_coords": [[0.000, 0.000, 0.000], [0.750, 0.750, 0.750], [0.500, 0.500, 0.500], [0.250, 0.250, 0.250]],
  "formation_energy_mev_per_atom": -8,
  "magnetic_moment_mub_per_cell": 0.36,
  "dos_at_fermi_per_ev_atom": 1.12,
  "space_group": "F-43m"
}

# 2
{
  "formula": "CsPuIn2Br6",
  "functional": "GGA-PBE",
  "state": "relaxed",
  "lattice_angstrom": [[-6.406, 0.649, -5.185], [0.730, -2.520, -7.840], [-4.148, -7.322, -2.404]],
  "species": ["Cs", "Br", "Br", "Br", "Br", "Br", "Br", "In", "In", "Pu"],
  "frac_coords": [[0.807, 0.808, 0.576], [0.558, 0.234, 0.235], [0.370, 0.699, 0.765], [0.234, 0.973, 0.236], [0.166, 0.370, 0.766], [0.700, 0.164, 0.766], [0.972, 0.559, 0.235], [0.008, 0.008, 0.977], [0.522, 0.522, 0.435], [0.325, 0.325, 0.024]],
  "raw_formation_energy_ev_per_atom": -1.241,
  "magnetic_moment_mub_per_cell": 5.00,
  "dos_at_fermi_per_ev_atom": 1.01,
  "space_group": "P1"
}

Number 1: final energy -6.771 eV/atom. Number 2: final energy -4.311 eV/atom.